## SrSi4 (PBE)

Data for a geometry-optimized SrSi4 structure.

The structure in POSCAR format:
```
SrSi4
1.0
-3.2297 3.2297 3.2297
3.2297 -3.2297 3.2297
3.2297 3.2297 -3.2297
Si Sr
4 1
Cartesian
-1.6148 1.6148 1.6148
1.6148 1.6148 -1.6148
1.6148 -1.6148 1.6148
1.6148 1.6148 1.6148
0.0000 0.0000 0.0000
```

Computed properties:
Its uncorrected formation energy is 1.244 eV/atom. As for the electronic total energy: -17.154 eV per formula unit. The calculated density is 2.5 g cm⁻³.

---

## LiLaRe2 (PBE)

Data for a geometry-optimized LiLaRe2 structure.

The structure in POSCAR format:
```
LiLaRe2
1.0
5.6766 0.0011 -0.0174
-3.1329 4.7338 -0.0174
0.5356 0.9969 2.6365
Re Li La
2 1 1
Cartesian
0.0000 0.0000 0.0000
1.2719 2.3675 -0.0174
-1.2986 2.8654 1.3095
3.1061 0.4990 1.3095
```

Computed properties:
As for the formation energy: 0.5532 eV per atom. As for the electronic total energy: -29.525 eV per formula unit. For the polymorph energy (0 for the lowest one), the calculation gives 316 meV per atom. The calculated density is 12.1 g cm⁻³.

---

## BeAgSe2N (PBE)

Data for a geometry-optimized BeAgSe2N structure.

The structure in POSCAR format:
```
BeAgSe2N
1.0
5.2486 0.0000 0.0000
0.0000 5.2486 0.0000
0.0000 0.0000 3.0082
Ag Be N Se
1 1 1 2
Cartesian
2.6243 2.6243 1.5041
0.0000 0.0000 0.0000
0.0000 0.0000 1.5041
0.0000 2.6243 0.0000
2.6243 0.0000 0.0000
```

Computed properties:
Its uncorrected formation energy is 0.426 eV/atom. As for the electronic total energy: -19.744 eV per formula unit. For the polymorph energy (0 for the lowest one), the calculation gives 0 meV per atom. The calculated density is 5.8 g cm⁻³.